Density functional theory data (GGA-PBE) for a geometry-optimized LaHf3O structure.

## Properties
- crystal system = cubic
- formation energy from raw total energies (eV per atom) = -0.7359
- size of the total moment (μB per atom) = 0.000
- mass density (g/cm³) = 11.42
- calculated total energy (eV per atom) = -8.69

a b c (Å): 4.6473 4.6473 4.6473
angles (deg): 90.00 90.00 90.00
Fractional coordinates of all 5 atoms:
La (0.0000, 0.0000, 0.0000)
Hf (0.0000, 0.5000, 0.5000)
Hf (0.5000, 0.0000, 0.5000)
Hf (0.5000, 0.5000, 0.0000)
O (0.5000, 0.5000, 0.5000)